[1]
VASP calculation (PBE) on a relaxed structure of TmZnCoSn.

```
data_TmZnCoSn
_space_group_name_H-M_alt 'F -4 3 m'
_space_group_IT_number 216
_space_group_name_Hall 'F -4 2 3'
_cell_length_a 6.556
_cell_length_b 6.556
_cell_length_c 6.556
_cell_angle_alpha 90.00
_cell_angle_beta 90.00
_cell_angle_gamma 90.00
loop_
_atom_site_label
_atom_site_type_symbol
_atom_site_fract_x
_atom_site_fract_y
_atom_site_fract_z
Tm1 Tm 0.000 0.000 0.000
Zn1 Zn 0.250 0.250 0.250
Co1 Co 0.250 0.250 0.750
Sn1 Sn 0.000 0.000 0.500
```

Results
Total moment: 1.0 μB/cell
Final energy: -0.1626 Ha/atom
Crystal system: cubic


[2]
VASP calculation (PBE) on a relaxed structure of U2Co2Sn.

```
data_U2Co2Sn
_space_group_name_H-M_alt 'P 4/m b m'
_space_group_IT_number 127
_space_group_name_Hall '-P 4 2ab'
_cell_length_a 7.336
_cell_length_b 7.336
_cell_length_c 3.391
_cell_angle_alpha 90.00
_cell_angle_beta 90.00
_cell_angle_gamma 90.00
loop_
_atom_site_label
_atom_site_type_symbol
_atom_site_fract_x
_atom_site_fract_y
_atom_site_fract_z
U1 U 0.165 0.335 0.000
Co1 Co 0.135 0.635 0.500
Sn1 Sn 0.000 0.000 0.500
```

Results
Total moment: 3.0 μB/cell
Final energy: -0.3073 Ha/atom
Crystal system: tetragonal


[3]
VASP calculation (PBE) on a relaxed structure of UCo2Sn.

```
data_UCo2Sn
_space_group_name_H-M_alt 'P 4/m m m'
_space_group_IT_number 123
_space_group_name_Hall '-P 4 2'
_cell_length_a 3.066
_cell_length_b 3.066
_cell_length_c 6.790
_cell_angle_alpha 90.00
_cell_angle_beta 90.00
_cell_angle_gamma 90.00
loop_
_atom_site_label
_atom_site_type_symbol
_atom_site_fract_x
_atom_site_fract_y
_atom_site_fract_z
U1 U 0.000 0.000 0.000
Co1 Co 0.500 0.500 0.263
Sn1 Sn 0.000 0.000 0.500
```

Results
Total moment: 0.1 μB/cell
Final energy: -0.2718 Ha/atom
Crystal system: tetragonal


Look up the final energy of the third one.
-0.2718 Ha/atom


Which formula does entry 2 have?
U2Co2Sn


Which of these has the highest total moment?
U2Co2Sn